Entry 1:
Compound: Na15Cr7N19
Source: the Alexandria database
Functional: PBE
Structure: optimized geometry

extended XYZ file:
```
82
Lattice="5.967 0.000 0.000 -2.209 11.042 -0.001 -1.114 -0.543 17.836" Properties=species:S:1:pos:R:3 pbc="T T T"
Na 1.266 6.626 7.952
Na 1.379 3.872 9.883
Na 2.555 1.213 11.435
Na 0.090 9.286 6.400
Na 4.020 0.084 3.516
Na -1.376 10.414 14.319
Na 4.973 0.100 6.994
Na -2.329 10.399 10.841
Na 2.964 8.421 5.230
Na -0.319 2.078 12.605
Na 3.869 1.429 14.987
Na -1.224 9.070 2.848
Na 2.144 9.492 16.052
Na 0.501 1.007 1.783
Na 4.105 0.921 0.165
Na -1.460 9.578 17.670
Na 1.037 9.610 9.530
Na 1.608 0.888 8.305
Na 2.523 5.241 5.213
Na 0.121 5.258 12.623
Na 4.954 3.797 0.209
Na -2.309 6.701 17.626
Na 2.805 6.919 14.219
Na -0.160 3.579 3.616
Na 3.563 2.653 6.642
Na -0.918 7.845 11.194
Na 1.703 3.595 14.964
Na 0.941 6.903 2.871
Na -1.661 5.249 8.918
Na 1.879 5.521 -0.001
Cr 2.848 2.818 2.340
Cr -0.203 7.681 15.495
Cr 3.248 4.042 12.312
Cr -0.603 6.456 5.523
Cr 2.248 6.949 10.925
Cr 0.396 3.549 6.910
Cr -2.214 8.301 8.144
Cr 4.858 2.198 9.691
Cr 3.925 6.029 2.487
Cr -1.280 4.470 15.349
Cr 1.216 9.586 12.875
Cr 1.429 0.912 4.960
Cr 2.239 8.760 0.923
Cr 0.406 1.739 16.913
N 4.375 2.171 2.215
N -1.730 8.328 15.620
N 4.049 3.265 10.962
N -1.404 7.234 6.873
N 2.837 0.467 5.753
N -0.192 10.031 12.082
N 0.767 8.597 14.324
N 1.877 1.902 3.512
N 2.908 4.544 2.773
N -0.264 5.954 15.062
N 1.870 4.180 7.389
N 0.774 6.318 10.446
N 3.845 0.937 9.220
N -1.200 9.562 8.615
N 3.292 7.251 9.540
N -0.647 3.248 8.295
N 3.465 9.906 0.911
N -0.820 0.593 16.924
N 2.325 8.877 7.497
N 0.320 1.622 10.338
N 2.160 8.465 11.760
N 0.484 2.034 6.075
N 3.301 4.858 16.166
N -0.656 5.641 1.669
N 0.582 7.849 17.081
N 2.062 2.650 0.754
N 2.964 7.197 1.588
N -0.319 3.302 16.247
N 4.416 -0.132 13.246
N -1.771 10.631 4.589
N 4.309 6.729 4.065
N -1.664 3.769 13.771
N 3.103 5.772 12.015
N -0.458 4.726 5.821
N 1.754 3.371 12.585
N 0.891 7.127 5.250
N 0.932 9.287 1.855
N 1.712 1.211 15.980
```

Values from the calculation:
The total DFT energy (no corrections) comes out at -519.69 eV/cell. Its uncorrected formation energy is -0.354 eV/atom. The magnetization comes out at 0.0 μB per formula unit.

=====

Entry 2:
Compound: Nd2HoOsO8
Source: the Alexandria database
Functional: PBE
Structure: optimized geometry

extended XYZ file:
```
12
Lattice="5.169 -0.043 -0.002 -0.015 5.166 -0.006 0.005 0.007 6.908" Properties=species:S:1:pos:R:3 pbc="T T T"
Nd 2.581 2.566 5.170
Nd 2.578 2.564 1.729
Ho 0.003 0.004 3.454
Os 0.000 0.000 0.000
O 0.900 4.246 1.443
O 3.840 3.820 6.901
O 4.255 0.879 1.446
O 4.259 0.884 5.456
O 1.318 1.309 -0.002
O 0.904 4.251 5.453
O 3.603 3.587 3.448
O 1.555 1.543 3.451
```

Values from the calculation:
The total DFT energy (no corrections) comes out at -94.27 eV/cell. Its uncorrected formation energy is -2.438 eV/atom. The magnetization comes out at 1.0 μB per formula unit.

=====

Entry 3:
Compound: ZnSiSb
Source: the Alexandria database
Functional: PBE
Structure: optimized geometry

extended XYZ file:
```
3
Lattice="5.895 -0.108 0.000 4.102 4.235 0.000 -4.998 -2.063 2.350" Properties=species:S:1:pos:R:3 pbc="T T T"
Sb 9.926 4.098 0.000
Si 3.144 1.298 0.000
Zn 6.923 2.858 0.000
```

Values from the calculation:
The calculation puts the polymorph energy (0 for the lowest one) at 161.7 meV/atom. The total DFT energy (no corrections) comes out at -9.59 eV/cell. Its uncorrected formation energy is 0.411 eV/atom. The magnetization comes out at 0.0 μB per formula unit.

=====

Entry 4:
Compound: HfInIr2I
Source: the Alexandria database
Functional: PBE
Structure: optimized geometry

extended XYZ file:
```
5
Lattice="4.858 0.000 0.000 0.000 5.435 0.000 0.000 0.000 4.858" Properties=species:S:1:pos:R:3 pbc="T T T"
I 0.000 0.000 0.000
Ir 0.000 0.000 2.429
Ir 2.429 0.000 0.000
Hf 2.429 2.718 2.429
In 0.000 2.718 0.000
```

Values from the calculation:
The total DFT energy (no corrections) comes out at -23.56 eV/cell. Its uncorrected formation energy is 1.680 eV/atom. The magnetization comes out at 0.0 μB per formula unit.

=====

Entry 5:
Compound: Er2CCl2
Source: the Alexandria database
Functional: PBE
Structure: optimized geometry

extended XYZ file:
```
5
Lattice="-1.173 -2.997 1.615 1.059 -3.225 -1.201 7.963 -1.801 6.459" Properties=species:S:1:pos:R:3 pbc="T T T"
Er 6.862 -3.911 5.757
Er 0.987 -4.112 1.116
C 0.000 0.000 0.000
Cl 2.391 -6.137 2.393
Cl 5.458 -1.886 4.480
```

Values from the calculation:
The total DFT energy (no corrections) comes out at -29.18 eV/cell. Its uncorrected formation energy is -1.428 eV/atom. The magnetization comes out at 0.0 μB per formula unit.

=====

Entry 6:
Compound: Tb3Nd4Ho
Source: the Alexandria database
Functional: PBE
Structure: optimized geometry

extended XYZ file:
```
16
Lattice="-0.404 4.630 4.294 -3.664 -4.493 4.499 10.060 -3.489 4.709" Properties=species:S:1:pos:R:3 pbc="T T T"
Tb -2.542 0.205 5.583
Tb -0.160 0.874 8.187
Tb 0.936 -0.345 4.942
Tb 3.586 -2.756 4.690
Tb 5.966 -2.090 7.296
Tb 4.870 -0.871 10.541
Nd -3.258 -3.236 4.563
Nd -0.727 2.419 3.346
Nd 1.641 3.103 5.966
Nd -0.866 -2.561 7.175
Nd 1.774 -4.990 6.907
Nd 4.303 0.685 5.709
Nd 4.146 -4.300 9.521
Nd 6.689 1.352 8.329
Ho -1.447 -1.017 2.339
Ho 2.492 -1.537 7.931
```

Values from the calculation:
The calculation puts the polymorph energy (0 for the lowest one) at 0.0 meV/atom. The total DFT energy (no corrections) comes out at -74.62 eV/cell. As for the calculated formation energy: 0.03 eV per atom. The magnetization comes out at 0.0 μB per formula unit.

=====

What did the second record say?
Compound: Nd2HoOsO8
Source: the Alexandria database
Functional: PBE
Structure: optimized geometry

extended XYZ file:
```
12
Lattice="5.169 -0.043 -0.002 -0.015 5.166 -0.006 0.005 0.007 6.908" Properties=species:S:1:pos:R:3 pbc="T T T"
Nd 2.581 2.566 5.170
Nd 2.578 2.564 1.729
Ho 0.003 0.004 3.454
Os 0.000 0.000 0.000
O 0.900 4.246 1.443
O 3.840 3.820 6.901
O 4.255 0.879 1.446
O 4.259 0.884 5.456
O 1.318 1.309 -0.002
O 0.904 4.251 5.453
O 3.603 3.587 3.448
O 1.555 1.543 3.451
```

Values from the calculation:
The total DFT energy (no corrections) comes out at -94.27 eV/cell. Its uncorrected formation energy is -2.438 eV/atom. The magnetization comes out at 1.0 μB per formula unit.

=====

Question: Number 3 is which compound?
Answer: ZnSiSb

=====

Question: Among the records above, which one has the lowest total DFT energy (no corrections)?
Answer: Na15Cr7N19

=====

Question: Which value of total DFT energy (no corrections) does entry 3 give?
Answer: -9.59 eV/cell